*w*
A geometry-optimized La2TaOs structure. Source: Alexandria, functional PBEsol.

Computed properties:
* spin magnetization: 0.00 μB/f.u.

Lattice parameters (Å, degrees): 5.0350 5.0350 5.0350 60.00 60.00 60.00
With the nearest neighbours (Å) after each atom.
Fractional coordinates of all 4 atoms:
Ta: 0.5000 0.5000 0.5000  8 La 3.08
La: 0.2500 0.2500 0.2500  4 Ta 3.08, 4 Os 3.08
La: 0.7500 0.7500 0.7500  4 Ta 3.08, 4 Os 3.08
Os: 0.0000 0.0000 0.0000  8 La 3.08

***

*x*
A geometry-optimized La2TaOs structure. Source: Alexandria, functional PBEsol.

Computed properties:
* spin magnetization: 0.00 μB/f.u.

Lattice parameters (Å, degrees): 3.1912 4.2088 6.7100 90.00 99.43 90.00
With the nearest neighbours (Å) after each atom.
Fractional coordinates of all 4 atoms:
Os: 0.0581 0.0000 0.5490  2 Ta 2.53
Ta: 0.4269 0.5000 0.6966  2 Os 2.53
La: 0.9369 0.0000 0.9810  1 Os 2.99, 2 Ta 3.11, 6 La 3.19-3.34
La: 0.5781 0.5000 0.2733  1 Ta 2.96, 2 Os 3.04, 4 La 3.19-3.21

***

The structure with the most favorable energy is *x*; the runner-up is 44.2 kJ/mol of atoms above it.